# 1
Pr4Nd3YSe8 | PBE | relaxed

abc: 8.4789 8.4789 8.4789
angles: 59.80 59.80 59.80
Atoms (fractional coordinates):
Pr 0.0000 0.0000 0.0000
Pr 0.0000 0.5000 0.5000
Pr 0.5000 0.0000 0.5000
Pr 0.5000 0.5000 0.0000
Nd 0.0000 0.0000 0.5000
Nd 0.0000 0.5000 0.0000
Nd 0.5000 0.0000 0.0000
Y 0.5000 0.5000 0.5000
Se 0.2490 0.2490 0.2490
Se 0.2539 0.7440 0.7440
Se 0.2560 0.2560 0.7461
Se 0.2560 0.7461 0.2560
Se 0.7440 0.2539 0.7440
Se 0.7440 0.7440 0.2539
Se 0.7461 0.2560 0.2560
Se 0.7510 0.7510 0.7510

Results
Symmetry ... R-3m

---

# 2
Pr4NdY3Se8 | PBE | relaxed

abc: 8.4551 8.4551 8.4551
angles: 59.04 59.04 59.04
Atoms (fractional coordinates):
Pr 0.0000 0.0000 0.0000
Pr 0.0000 0.5000 0.5000
Pr 0.5000 0.0000 0.5000
Pr 0.5000 0.5000 0.0000
Nd 0.5000 0.5000 0.5000
Y 0.0000 0.0000 0.5000
Y 0.0000 0.5000 0.0000
Y 0.5000 0.0000 0.0000
Se 0.2397 0.7489 0.7489
Se 0.2444 0.2444 0.2444
Se 0.2511 0.2511 0.7603
Se 0.2511 0.7603 0.2511
Se 0.7489 0.2397 0.7489
Se 0.7489 0.7489 0.2397
Se 0.7556 0.7556 0.7556
Se 0.7603 0.2511 0.2511

Results
Symmetry ... R-3m

---

Number 1: raw formation energy -1.8262 eV per atom, total energy -6.06 eV/atom. Number 2: raw formation energy -1.8120 eV per atom, total energy -6.26 eV/atom.